The following is a DFT calculation (GGA+U) of a relaxed structure of Ba2NbWF.

a = 5.7116 Å, b = 5.7116 Å, c = 4.5655 Å
α = 90.00°, β = 90.00°, γ = 90.00°
Sites, in units of the cell vectors:
Ba1 0.0000 0.5000 0.0000
Ba2 0.5000 0.0000 0.0000
Nb1 0.0000 0.0000 0.5000
W1 0.5000 0.5000 0.5000
F1 0.5000 0.5000 0.0000

Summary:
volume: 148.94 Å³ per cell
N(E_F): 4.6 states/eV/cell
total DFT energy (no corrections): -22.32 eV for the cell shown
space-group type: P4/mmm, No. 123